Record 1
A relaxed structure of Pr2MgP. Source: Alexandria, functional GGA-PBE.

The space group is P4/mmm, No. 123. The energy above the most stable polymorph in this dataset comes out at 72 meV per atom. The energy relative to the elements comes out at -0.605 eV/atom. The calculation puts the density of states at the Fermi level at 2.8 states/eV/f.u. The crystal system is tetragonal. The value obtained for the total energy is -4.746 eV per atom.

a b c (Å): 3.836 3.836 7.069
angles (deg): 90.00 90.00 90.00
Positions (direct):
Pr 0.000 0.000 0.776
Pr 0.000 0.000 0.224
P 0.500 0.500 0.000
Mg 0.500 0.500 0.500


Record 2
A relaxed structure of Li4InPd3. Source: Alexandria, functional GGA-PBE.

The space group is C2/m, No. 12. The energy relative to the elements comes out at -0.428 eV/atom. The calculation puts the density of states at the Fermi level at 2.4 states/eV/f.u. The crystal system is monoclinic. The value obtained for the total energy is -3.675 eV per atom.

a b c (Å): 3.058 4.520 11.263
angles (deg): 126.73 97.80 90.00
Positions (direct):
Li 0.381 0.148 0.763
Li 0.619 0.852 0.237
Li 0.756 0.769 0.513
Li 0.244 0.231 0.487
In 0.500 0.000 0.000
Pd 0.000 0.500 0.000
Pd 0.135 0.402 0.270
Pd 0.865 0.598 0.730


Record 3
A relaxed structure of Zn2Ga3Ag6. Source: Alexandria, functional GGA-PBE.

The space group is R-3m, No. 166. The energy relative to the elements comes out at 0.007 eV/atom. The calculation puts the density of states at the Fermi level at 4.7 states/eV/f.u. The crystal system is trigonal. The value obtained for the total energy is -2.605 eV per atom.

a b c (Å): 2.961 2.961 25.085
angles (deg): 86.62 86.62 60.00
Positions (direct):
Zn 0.545 0.545 0.365
Zn 0.455 0.455 0.635
Ga 0.000 0.000 0.000
Ga 0.728 0.728 0.816
Ga 0.272 0.272 0.184
Ag 0.908 0.908 0.277
Ag 0.092 0.092 0.723
Ag 0.817 0.817 0.548
Ag 0.183 0.183 0.452
Ag 0.636 0.636 0.092
Ag 0.364 0.364 0.908